Material: CsCa2CeBr8
Method: DFT, PBE-GGA
State: relaxed

Properties
**Magnetization**: 0.083 μB per atom
**Electronic total energy**: -3.88 eV/atom
**SG**: P-1, No. 2
**Mass density**: 3.52 g cm⁻³
**E_form (uncorrected)**: -1.870 eV/atom

Lattice parameters (Å, degrees): 7.2089 6.9477 9.3516 89.91 89.95 89.16
Site moments in Bohr magnetons follow the coordinates.
Fractional coordinates of all 12 atoms:
Cs  0.0000  0.0000  0.5000  0.00
Ca  0.5001  0.4999  0.7460  0.00
Ca  0.4999  0.5001  0.2540  0.00
Ce  0.0000  0.0000  0.0000  0.99
Br  0.1698  0.7426  0.2088  -0.01
Br  0.6679  0.7362  0.9998  0.00
Br  0.8293  0.2565  0.2085  -0.01
Br  0.8302  0.2574  0.7912  -0.01
Br  0.3321  0.2638  0.0002  0.00
Br  0.1707  0.7435  0.7915  -0.01
Br  0.6056  0.7280  0.4996  0.00
Br  0.3944  0.2720  0.5004  0.00

---

Material: ZrTa2Hg
Method: DFT, PBE-GGA
State: relaxed

Properties
**Magnetization**: 0.000 μB per atom
**Electronic total energy**: -7.92 eV/atom
**SG**: R3m, No. 160
**Mass density**: 13.26 g cm⁻³
**E_form**: 0.22 eV/atom

Lattice parameters (Å, degrees): 9.9322 9.9322 9.9322 18.02 18.02 18.02
Fractional coordinates of all 4 atoms:
Hg  0.7479  0.7479  0.7479
Ta  0.9979  0.9979  0.9979
Ta  0.2521  0.2521  0.2521
Zr  0.5021  0.5021  0.5021

---

Material: KFeHg2I
Method: DFT, PBE-GGA
State: relaxed

Properties
**Magnetization**: 0.566 μB per atom
**Electronic total energy**: -2.30 eV/atom
**SG**: P4/mmm, No. 123
**Mass density**: 5.46 g cm⁻³
**E_form (uncorrected)**: 0.047 eV/atom

Lattice parameters (Å, degrees): 5.1385 7.1704 5.1385 90.00 90.00 90.00
Site moments in Bohr magnetons follow the coordinates.
Fractional coordinates of all 5 atoms:
I  0.5000  0.5000  0.5000  -0.01
K  0.0000  0.5000  0.0000  0.00
Hg  0.0000  0.0000  0.5000  0.02
Hg  0.5000  0.0000  0.0000  -0.02
Fe  0.0000  0.0000  0.0000  2.76

---

Material: MnAlCu2
Method: DFT, PBE-GGA
State: relaxed

Properties
**Magnetization**: 0.881 μB per atom
**Electronic total energy**: -5.32 eV/atom
**SG**: Cm, No. 8
**Mass density**: 6.59 g cm⁻³
**E_form**: -0.04 eV/atom

Lattice parameters (Å, degrees): 4.8569 4.8569 4.2364 66.29 66.29 35.55
Site moments in Bohr magnetons follow the coordinates.
Fractional coordinates of all 4 atoms:
Mn  0.4983  0.4983  0.5110  3.35
Al  0.2578  0.2578  0.2325  -0.03
Cu  0.0013  0.0013  0.0094  0.08
Cu  0.7426  0.7426  0.7470  0.07

---

Material: MnPCSeN
Method: DFT, PBE-GGA
State: relaxed

Properties
**Magnetization**: 0.341 μB per atom
**Relative energy among the computed polymorphs**: 12 meV per atom
**Electronic total energy**: -6.89 eV/atom
**SG**: Cm, No. 8
**Mass density**: 4.55 g cm⁻³
**E_form (uncorrected)**: 0.229 eV/atom

Lattice parameters (Å, degrees): 9.3096 2.9542 5.1570 90.00 100.72 90.00
Site moments in Bohr magnetons follow the coordinates.
Fractional coordinates of all 10 atoms:
P  0.7937  0.0000  0.0967  -0.05
P  0.7937  0.5000  0.5967  -0.05
C  0.9801  0.0000  0.1582  -0.10
C  0.9801  0.5000  0.6582  -0.10
Mn  0.0813  0.0000  0.5243  2.02
Mn  0.0813  0.5000  0.0243  2.02
Se  0.2830  0.0000  0.9238  -0.06
Se  0.2830  0.5000  0.4238  -0.06
N  0.7272  0.0000  0.7408  -0.03
N  0.7272  0.5000  0.2408  -0.03

---

Material: Dy4NiTe2
Method: DFT, PBE-GGA
State: relaxed

Properties
**Magnetization**: 0.000 μB per atom
**Electronic total energy**: -5.15 eV/atom
**SG**: C2/m, No. 12
**Mass density**: 7.91 g cm⁻³
**E_form (uncorrected)**: -0.794 eV/atom

Lattice parameters (Å, degrees): 4.0843 7.0173 8.1743 115.96 104.47 90.00
Fractional coordinates of all 7 atoms:
Dy  0.8964  0.2215  0.7928
Dy  0.1036  0.7785  0.2072
Dy  0.6031  0.2587  0.2061
Dy  0.3969  0.7413  0.7939
Ni  0.0000  0.0000  0.0000
Te  0.7430  0.7440  0.4861
Te  0.2570  0.2560  0.5139